VASP calculation (PBE-GGA) on an optimized crystal structure of TaTi6Sn3.

Unit cell a=4.841 b=7.929 c=10.194 alpha=110.16 beta=90.00 gamma=90.00
Element x y z (fractional)
Ta 0.250 0.949 0.596
Ta 0.750 0.051 0.404
Ti 0.250 0.460 0.086
Ti 0.750 0.540 0.914
Ti 0.250 0.162 0.194
Ti 0.750 0.838 0.806
Ti 0.250 0.653 0.689
Ti 0.750 0.347 0.311
Ti 0.250 0.240 0.485
Ti 0.750 0.760 0.515
Ti 0.250 0.869 0.299
Ti 0.750 0.131 0.701
Ti 0.250 0.061 0.884
Ti 0.750 0.939 0.116
Sn 0.250 0.552 0.389
Sn 0.750 0.448 0.611
Sn 0.250 0.344 0.782
Sn 0.750 0.656 0.218
Sn 0.250 0.776 0.985
Sn 0.750 0.224 0.015

DOS(E_F) = 19.24 states/eV per cell
total energy = -147.6 eV per cell
E_form = -0.255 eV per atom
magnetization = 0.0 μB/f.u.
space group = No. 11